Model i:
The following is a DFT calculation (PBE) of crystalline AlTlS3 at its relaxed geometry.

The structure in POSCAR format:
```
AlTlS3
1.0
3.683 0.000 0.000
0.000 3.517 5.895
0.000 -3.517 5.895
Al Tl S
1 1 3
direct
0.000 0.000 0.000
0.500 0.656 0.656
0.000 0.799 0.799
0.500 0.236 0.799
0.500 0.799 0.236
```

Fermi-level density of states in states/eV/cell: 0.7

Model ii:
The following is a DFT calculation (PBE) of crystalline AlTlS3 at its relaxed geometry.

The structure in POSCAR format:
```
AlTlS3
1.0
4.918 0.000 0.000
0.000 6.706 0.000
-1.618 0.000 8.280
Al Tl S
2 2 6
direct
0.032 0.000 0.126
0.968 0.500 0.874
0.252 0.974 0.680
0.748 0.474 0.320
0.170 0.314 0.084
0.215 0.503 0.666
0.392 0.874 0.313
0.608 0.374 0.687
0.785 0.003 0.334
0.830 0.814 0.916
```

Fermi-level density of states in states/eV/cell: 0.0

Energies relative to the most stable structure are model i 221; model ii 0, reported in meV/atom.